Entry 1:
# PuUNiIr

Crystalline PuUNiIr at its relaxed geometry (PBE-GGA, Alexandria).

Geometry as POSCAR:
```
PuUNiIr
1.0
0.000 3.237 3.237
3.237 0.000 3.237
3.237 3.237 0.000
Pu U Ni Ir
1 1 1 1
direct
0.000 0.000 0.000 Pu
0.750 0.750 0.750 U
0.250 0.250 0.250 Ni
0.500 0.500 0.500 Ir
```

Calculated values
Space group: F-43m (216)

Entry 2:
# PuZnNiIr

Crystalline PuZnNiIr at its relaxed geometry (PBE-GGA, Alexandria).

Geometry as POSCAR:
```
PuZnNiIr
1.0
0.000 3.218 3.218
3.218 0.000 3.218
3.218 3.218 0.000
Pu Zn Ni Ir
1 1 1 1
direct
0.000 0.000 0.000 Pu
0.500 0.500 0.500 Zn
0.250 0.250 0.250 Ni
0.750 0.750 0.750 Ir
```

Calculated values
Space group: F-43m (216)

Entry 3:
# RbNi3Ir

Crystalline RbNi3Ir at its relaxed geometry (PBE-GGA, Alexandria).

Geometry as POSCAR:
```
RbNi3Ir
1.0
4.739 0.000 0.000
0.000 4.739 0.000
0.000 0.000 4.739
Rb Ni Ir
1 3 1
direct
0.000 0.000 0.000 Rb
0.000 0.500 0.500 Ni
0.500 0.000 0.500 Ni
0.500 0.500 0.000 Ni
0.500 0.500 0.500 Ir
```

Calculated values
Energy above the most stable polymorph in this dataset: 0.0 meV/atom
Space group: Pm-3m (221)

Entry 4:
# RbNiIr3

Crystalline RbNiIr3 at its relaxed geometry (PBE-GGA, Alexandria).

Geometry as POSCAR:
```
RbNiIr3
1.0
4.822 0.000 0.000
0.000 4.822 0.000
0.000 0.000 4.822
Rb Ni Ir
1 1 3
direct
0.000 0.000 0.000 Rb
0.500 0.500 0.500 Ni
0.000 0.000 0.500 Ir
0.000 0.500 0.000 Ir
0.500 0.000 0.000 Ir
```

Calculated values
Energy above the most stable polymorph in this dataset: 1992.3 meV/atom
Space group: Pm-3m (221)

Energy? In order: -10.530; -7.762; -4.503; -3.117 eV/atom.
E_form? In order: -0.4644; -0.1998; 0.9319; 3.5490 eV/atom.